# 1
The following is a GGA-PBE calculation of a relaxed structure of CdAgAu2, from Alexandria.

Cell lengths 5.1647, 5.1640, 5.1432 Å; angles 132.07, 132.01, 69.75 degrees
Closest atoms and distances in Å follow each position.
Fractional positions:
Cd 0.4999 0.5001 0.0000  8 Au 2.95-2.99, 4 Ag 2.96-2.99
Au 0.9998 0.0000 0.0000  4 Cd 2.95-2.97, 4 Au 2.96-2.99, 4 Ag 2.96-2.99
Ag 0.2500 0.7498 0.5000  8 Au 2.95-2.99, 4 Cd 2.96-2.99
Au 0.7501 0.2500 0.5000  4 Ag 2.95-2.97, 4 Au 2.96-2.99, 4 Cd 2.97-2.99

Values from the calculation:
E_form: -123.0 meV per atom
space group: C2, No. 5


# 2
The following is a GGA-PBE calculation of a relaxed structure of HoZrSb, from Alexandria.

Cell lengths 3.8038, 3.8038, 5.8373 Å; angles 109.02, 109.02, 90.00 degrees
Closest atoms and distances in Å follow each position.
Fractional positions:
Ho 0.9521 0.9521 0.9042  5 Sb 3.26-3.34, 5 Zr 3.28-3.29
Zr 0.2685 0.2685 0.5370  4 Sb 3.05, 5 Ho 3.28-3.29
Sb 0.6294 0.6294 0.2588  4 Zr 3.05, 5 Ho 3.26-3.34

Values from the calculation:
ΔE_f (raw): -162.6 kJ/mol of formula units
space group: I4mm, No. 107


# 3
The following is a GGA-PBE calculation of a relaxed structure of Dy4HoTmS8, from Alexandria.

Cell lengths 8.0251, 8.0251, 8.0141 Å; angles 59.95, 59.95, 60.00 degrees
Closest atoms and distances in Å follow each position.
Fractional positions:
S 0.2403 0.7727 0.7466  1 Ho 2.60, 1 Tm 2.73, 2 Dy 2.76
S 0.2403 0.2403 0.7466  1 Ho 2.60, 1 Tm 2.73, 2 Dy 2.76
Ho 0.3754 0.3754 0.8739  4 S 2.59-2.60
S 0.7603 0.2257 0.2537  3 Dy 2.61-2.76, 1 Tm 2.72
Dy 0.6245 0.6245 0.1265  4 S 2.60-2.61
Tm 0.0001 0.0001 0.9996  6 S 2.72-2.73
S 0.2257 0.7603 0.2537  3 Dy 2.61-2.76, 1 Tm 2.72
Dy 0.4998 0.0001 0.5001  6 S 2.76
S 0.2434 0.2434 0.2699  1 Ho 2.59, 3 Dy 2.76
S 0.7727 0.2403 0.7466  1 Ho 2.60, 1 Tm 2.73, 2 Dy 2.76
Dy 0.0001 0.4998 0.5001  6 S 2.76
S 0.7570 0.7570 0.7289  4 Dy 2.60-2.76
Dy 0.0001 0.0001 0.5001  6 S 2.76
S 0.7603 0.7603 0.2537  3 Dy 2.61-2.76, 1 Tm 2.72

Values from the calculation:
ΔE_f (raw): -2607.0 kJ/mol of formula units
space group: R3m, No. 160


# 4
The following is a GGA-PBE calculation of a relaxed structure of MnReTc, from Alexandria.

Cell lengths 4.6551, 4.6551, 4.6551 Å; angles 146.40, 131.95, 59.91 degrees
Closest atoms and distances in Å follow each position.
Fractional positions:
Tc 0.6633 0.6633 0.0000  5 Re 2.64-2.71, 5 Mn 2.67-2.72, 2 Tc 2.69
Mn 0.0004 0.0004 0.0000  5 Tc 2.67-2.72, 5 Re 2.67-2.71, 2 Mn 2.69
Re 0.3363 0.3363 0.0000  5 Tc 2.64-2.71, 5 Mn 2.67-2.71, 2 Re 2.69

Values from the calculation:
energy above the most stable polymorph in this dataset: 0.027 eV/atom
E_form: 109.1 meV per atom
space group: Imm2, No. 44


# 5
The following is a GGA-PBE calculation of a relaxed structure of LaGdCoAu, from Alexandria.

Cell lengths 5.0931, 5.0931, 5.0931 Å; angles 60.00, 60.00, 60.00 degrees
Closest atoms and distances in Å follow each position.
Fractional positions:
Co 0.5000 0.5000 0.5000  4 La 3.12, 4 Gd 3.12
Au 0.0000 0.0000 0.0000  4 Gd 3.12, 4 La 3.12
La 0.2500 0.2500 0.2500  4 Au 3.12, 4 Co 3.12
Gd 0.7500 0.7500 0.7500  4 Co 3.12, 4 Au 3.12

Values from the calculation:
E_form: -350.0 meV per atom
space group: F-43m, No. 216


# 6
The following is a GGA-PBE calculation of a relaxed structure of CePmCo2H8, from Alexandria.

Cell lengths 4.5157, 4.5157, 6.6565 Å; angles 70.17, 70.17, 60.00 degrees
Closest atoms and distances in Å follow each position.
Fractional positions:
H 0.5530 0.5530 0.8230  1 Co 1.61
H 0.4470 0.4470 0.1770  1 Co 1.61
H 0.9291 0.4470 0.1770  1 Co 1.61
Co 0.7731 0.7731 0.6806  4 H 1.61-1.63
H 0.0709 0.5530 0.8230  1 Co 1.61
H 0.4470 0.9291 0.1770  1 Co 1.61
H 0.5530 0.0709 0.8230  1 Co 1.61
Ce 0.5000 0.5000 0.5000  6 H 2.34
Co 0.2269 0.2269 0.3194  4 H 1.61-1.63
Pm 0.0000 0.0000 0.0000  14 H 2.50-2.54
H 0.8620 0.8620 0.4140  1 Co 1.63
H 0.1380 0.1380 0.5860  1 Co 1.63

Values from the calculation:
calculated total energy: -55.192 eV for the cell shown
space group: R-3m, No. 166


Copy entry 3 word for word.
The following is a GGA-PBE calculation of a relaxed structure of Dy4HoTmS8, from Alexandria.

Cell lengths 8.0251, 8.0251, 8.0141 Å; angles 59.95, 59.95, 60.00 degrees
Closest atoms and distances in Å follow each position.
Fractional positions:
S 0.2403 0.7727 0.7466  1 Ho 2.60, 1 Tm 2.73, 2 Dy 2.76
S 0.2403 0.2403 0.7466  1 Ho 2.60, 1 Tm 2.73, 2 Dy 2.76
Ho 0.3754 0.3754 0.8739  4 S 2.59-2.60
S 0.7603 0.2257 0.2537  3 Dy 2.61-2.76, 1 Tm 2.72
Dy 0.6245 0.6245 0.1265  4 S 2.60-2.61
Tm 0.0001 0.0001 0.9996  6 S 2.72-2.73
S 0.2257 0.7603 0.2537  3 Dy 2.61-2.76, 1 Tm 2.72
Dy 0.4998 0.0001 0.5001  6 S 2.76
S 0.2434 0.2434 0.2699  1 Ho 2.59, 3 Dy 2.76
S 0.7727 0.2403 0.7466  1 Ho 2.60, 1 Tm 2.73, 2 Dy 2.76
Dy 0.0001 0.4998 0.5001  6 S 2.76
S 0.7570 0.7570 0.7289  4 Dy 2.60-2.76
Dy 0.0001 0.0001 0.5001  6 S 2.76
S 0.7603 0.7603 0.2537  3 Dy 2.61-2.76, 1 Tm 2.72

Values from the calculation:
ΔE_f (raw): -2607.0 kJ/mol of formula units
space group: R3m, No. 160